# 1
12
Lattice="-2.158 4.876 4.817 -1.110 -6.998 1.198 7.272 0.279 1.190" Properties=species:S:1:pos:R:3 comment="La3Y2TmSe6 | Alexandria via LeMat-Bulk | GGA-PBE | optimized geometry" total_magnetization_mub_per_cell=0.0 dos_ef_per_ev_cell=6.4 formation_energy_uncorrected_ev_per_atom=-1.88 pbc="T T T"
Se 4.768 -0.320 2.431
Se -0.765 -1.523 4.775
Se 3.298 -3.350 4.890
Se 1.050 -2.400 1.124
Se 2.953 0.557 6.081
Se 0.706 1.506 2.315
Y -1.460 -3.039 2.405
Y -1.809 0.917 3.611
La 1.655 3.009 4.801
La 2.002 -0.922 3.603
La 2.349 -4.852 2.405
Tm 0.000 0.000 0.000



# 2
15
Lattice="-5.096 5.573 3.226 -2.792 -7.471 -1.955 5.125 0.878 6.579" Properties=species:S:1:pos:R:3 comment="La3YTm3Se8 | Alexandria via LeMat-Bulk | GGA-PBE | optimized geometry" total_magnetization_mub_per_cell=0.0 dos_ef_per_ev_cell=7.6 formation_energy_uncorrected_ev_per_atom=-1.89 pbc="T T T"
Se -3.861 0.670 3.196
Se -1.411 1.155 6.228
Se -0.259 -5.322 3.704
Se 1.098 -1.690 4.654
Se -2.503 4.302 4.147
Se -1.352 -2.175 1.622
Se -2.736 -2.613 5.272
Se -0.026 1.592 2.578
Tm 1.167 -3.297 2.312
Tm 0.015 3.226 4.903
Tm -1.381 -0.510 3.925
Y 2.563 0.439 3.290
La -3.944 -0.949 0.635
La 0.000 0.000 0.000
La -1.396 -3.736 -0.978



# 3
10
Lattice="7.301 0.001 0.001 3.651 6.322 0.001 3.651 2.108 6.493" Properties=species:S:1:pos:R:3 comment="LaY2TmSe6 | Alexandria via LeMat-Bulk | GGA-PBE | optimized geometry" total_magnetization_mub_per_cell=0.0 dos_ef_per_ev_cell=0.0 formation_energy_uncorrected_ev_per_atom=-1.88 pbc="T T T"
Se 9.839 4.354 1.608
Se 8.238 6.151 4.869
Se 5.156 4.060 4.870
Se 8.508 2.435 4.870
Se 5.912 6.342 1.607
Se 6.152 1.949 1.607
La 10.951 6.323 3.690
Y 7.301 4.215 2.913
Y 3.651 2.108 6.263
Tm 3.650 2.107 0.275



Please write out number 3 again, unchanged.
10
Lattice="7.301 0.001 0.001 3.651 6.322 0.001 3.651 2.108 6.493" Properties=species:S:1:pos:R:3 comment="LaY2TmSe6 | Alexandria via LeMat-Bulk | GGA-PBE | optimized geometry" total_magnetization_mub_per_cell=0.0 dos_ef_per_ev_cell=0.0 formation_energy_uncorrected_ev_per_atom=-1.88 pbc="T T T"
Se 9.839 4.354 1.608
Se 8.238 6.151 4.869
Se 5.156 4.060 4.870
Se 8.508 2.435 4.870
Se 5.912 6.342 1.607
Se 6.152 1.949 1.607
La 10.951 6.323 3.690
Y 7.301 4.215 2.913
Y 3.651 2.108 6.263
Tm 3.650 2.107 0.275